--- 1 ---
# ScTaTc2 | Alexandria via LeMat-Bulk | GGA-PBEsol | relaxed
data_ScTaTc2
_symmetry_space_group_name_H-M 'P 4/m m m'
_symmetry_Int_Tables_number 123
_symmetry_space_group_name_Hall '-P 4 2'
_cell_length_a 3.166
_cell_length_b 3.166
_cell_length_c 6.394
_cell_angle_alpha 90.00
_cell_angle_beta 90.00
_cell_angle_gamma 90.00
loop_
_atom_site_label
_atom_site_type_symbol
_atom_site_fract_x
_atom_site_fract_y
_atom_site_fract_z
_atom_site_occupancy
Sc1 Sc 0.000 0.000 0.000 1
Ta1 Ta 0.000 0.000 0.500 1
Tc1 Tc 0.500 0.500 0.263 1
# M_tot: 0.000 Bohr magnetons per cell
# Mass density: 10.932 Mg/m³
# Crystal system: tetragonal
# Volume: 16.02 Å³/atom


--- 2 ---
# ScTaTc2 | Alexandria via LeMat-Bulk | GGA-PBEsol | relaxed
data_ScTaTc2
_symmetry_space_group_name_H-M 'F -4 3 m'
_symmetry_Int_Tables_number 216
_symmetry_space_group_name_Hall 'F -4 2 3'
_cell_length_a 6.314
_cell_length_b 6.314
_cell_length_c 6.314
_cell_angle_alpha 90.00
_cell_angle_beta 90.00
_cell_angle_gamma 90.00
loop_
_atom_site_label
_atom_site_type_symbol
_atom_site_fract_x
_atom_site_fract_y
_atom_site_fract_z
_atom_site_occupancy
Sc1 Sc 0.000 0.000 0.000 1
Ta1 Ta 0.250 0.250 0.750 1
Tc1 Tc 0.000 0.000 0.500 1
Tc2 Tc 0.250 0.250 0.250 1
# M_tot: 0.001 Bohr magnetons per cell
# Mass density: 11.134 Mg/m³
# Crystal system: cubic
# Volume: 15.73 Å³/atom


Winner for stability: 1


--- 1 ---
# ScTaTc2 | Alexandria via LeMat-Bulk | GGA-PBEsol | relaxed
data_ScTaTc2
_symmetry_space_group_name_H-M 'F m -3 m'
_symmetry_Int_Tables_number 225
_symmetry_space_group_name_Hall '-F 4 2 3'
_cell_length_a 6.327
_cell_length_b 6.327
_cell_length_c 6.327
_cell_angle_alpha 90.00
_cell_angle_beta 90.00
_cell_angle_gamma 90.00
loop_
_atom_site_label
_atom_site_type_symbol
_atom_site_fract_x
_atom_site_fract_y
_atom_site_fract_z
_atom_site_occupancy
Sc1 Sc 0.000 0.000 0.000 1
Ta1 Ta 0.000 0.000 0.500 1
Tc1 Tc 0.250 0.250 0.250 1
# M_tot: 0.000 Bohr magnetons per cell
# Mass density: 11.067 Mg/m³
# Crystal system: cubic
# Volume: 15.83 Å³/atom


--- 2 ---
# ScTaTc2 | Alexandria via LeMat-Bulk | GGA-PBEsol | relaxed
data_ScTaTc2
_symmetry_space_group_name_H-M 'I m m 2'
_symmetry_Int_Tables_number 44
_symmetry_space_group_name_Hall 'I 2 -2'
_cell_length_a 3.145
_cell_length_b 4.400
_cell_length_c 9.237
_cell_angle_alpha 90.00
_cell_angle_beta 90.00
_cell_angle_gamma 90.00
loop_
_atom_site_label
_atom_site_type_symbol
_atom_site_fract_x
_atom_site_fract_y
_atom_site_fract_z
_atom_site_occupancy
Sc1 Sc 0.000 0.000 0.000 1
Ta1 Ta 0.000 0.500 0.768 1
Tc1 Tc 0.000 0.000 0.509 1
Tc2 Tc 0.000 0.500 0.243 1
# M_tot: 0.000 Bohr magnetons per cell
# Mass density: 10.960 Mg/m³
# Crystal system: orthorhombic
# Volume: 15.98 Å³/atom


Winner for stability: 1


--- 1 ---
# Sc2TaTl | Alexandria via LeMat-Bulk | GGA-PBEsol | relaxed
data_Sc2TaTl
_symmetry_space_group_name_H-M 'C 1 2/m 1'
_symmetry_Int_Tables_number 12
_symmetry_space_group_name_Hall '-C 2y'
_cell_length_a 10.183
_cell_length_b 3.142
_cell_length_c 5.317
_cell_angle_alpha 90.00
_cell_angle_beta 104.38
_cell_angle_gamma 90.00
loop_
_atom_site_label
_atom_site_type_symbol
_atom_site_fract_x
_atom_site_fract_y
_atom_site_fract_z
_atom_site_occupancy
Sc1 Sc 0.247 0.000 0.245 1
Ta1 Ta 0.000 0.500 0.000 1
Tl1 Tl 0.000 0.000 0.500 1
# M_tot: 0.000 Bohr magnetons per cell
# Mass density: 9.576 Mg/m³
# Crystal system: monoclinic
# Volume: 20.60 Å³/atom


--- 2 ---
# Sc2TaTl | Alexandria via LeMat-Bulk | GGA-PBEsol | relaxed
data_Sc2TaTl
_symmetry_space_group_name_H-M 'P m m 2'
_symmetry_Int_Tables_number 25
_symmetry_space_group_name_Hall 'P 2 -2'
_cell_length_a 3.189
_cell_length_b 4.239
_cell_length_c 6.142
_cell_angle_alpha 90.00
_cell_angle_beta 90.00
_cell_angle_gamma 90.00
loop_
_atom_site_label
_atom_site_type_symbol
_atom_site_fract_x
_atom_site_fract_y
_atom_site_fract_z
_atom_site_occupancy
Sc1 Sc 0.000 0.000 0.000 1
Sc2 Sc 0.500 0.500 0.268 1
Ta1 Ta 0.000 0.000 0.488 1
Tl1 Tl 0.500 0.500 0.752 1
# M_tot: 0.000 Bohr magnetons per cell
# Mass density: 9.504 Mg/m³
# Crystal system: orthorhombic
# Volume: 20.76 Å³/atom


Winner for stability: 2


--- 1 ---
# Sc2TaTl | Alexandria via LeMat-Bulk | GGA-PBEsol | relaxed
data_Sc2TaTl
_symmetry_space_group_name_H-M 'P 4 m m'
_symmetry_Int_Tables_number 99
_symmetry_space_group_name_Hall 'P 4 -2'
_cell_length_a 3.025
_cell_length_b 3.025
_cell_length_c 9.252
_cell_angle_alpha 90.00
_cell_angle_beta 90.00
_cell_angle_gamma 90.00
loop_
_atom_site_label
_atom_site_type_symbol
_atom_site_fract_x
_atom_site_fract_y
_atom_site_fract_z
_atom_site_occupancy
Sc1 Sc 0.000 0.000 0.000 1
Sc2 Sc 0.500 0.500 0.282 1
Ta1 Ta 0.000 0.000 0.512 1
Tl1 Tl 0.500 0.500 0.756 1
# M_tot: 0.002 Bohr magnetons per cell
# Mass density: 9.324 Mg/m³
# Crystal system: tetragonal
# Volume: 21.16 Å³/atom


--- 2 ---
# Sc2TaTl | Alexandria via LeMat-Bulk | GGA-PBEsol | relaxed
data_Sc2TaTl
_symmetry_space_group_name_H-M 'P m m m'
_symmetry_Int_Tables_number 47
_symmetry_space_group_name_Hall '-P 2 2'
_cell_length_a 3.200
_cell_length_b 3.698
_cell_length_c 7.015
_cell_angle_alpha 90.00
_cell_angle_beta 90.00
_cell_angle_gamma 90.00
loop_
_atom_site_label
_atom_site_type_symbol
_atom_site_fract_x
_atom_site_fract_y
_atom_site_fract_z
_atom_site_occupancy
Sc1 Sc 0.000 0.000 0.236 1
Ta1 Ta 0.500 0.500 0.000 1
Tl1 Tl 0.500 0.500 0.500 1
# M_tot: 0.000 Bohr magnetons per cell
# Mass density: 9.507 Mg/m³
# Crystal system: orthorhombic
# Volume: 20.75 Å³/atom


Winner for stability: 2


--- 1 ---
# Sc2TaW | Alexandria via LeMat-Bulk | GGA-PBEsol | relaxed
data_Sc2TaW
_symmetry_space_group_name_H-M 'F m -3 m'
_symmetry_Int_Tables_number 225
_symmetry_space_group_name_Hall '-F 4 2 3'
_cell_length_a 6.644
_cell_length_b 6.644
_cell_length_c 6.644
_cell_angle_alpha 90.00
_cell_angle_beta 90.00
_cell_angle_gamma 90.00
loop_
_atom_site_label
_atom_site_type_symbol
_atom_site_fract_x
_atom_site_fract_y
_atom_site_fract_z
_atom_site_occupancy
Sc1 Sc 0.250 0.250 0.250 1
Ta1 Ta 0.000 0.000 0.000 1
W1 W 0.000 0.000 0.500 1
# M_tot: 0.003 Bohr magnetons per cell
# Mass density: 10.296 Mg/m³
# Crystal system: cubic
# Volume: 18.33 Å³/atom


--- 2 ---
# Sc2TaW | Alexandria via LeMat-Bulk | GGA-PBEsol | relaxed
data_Sc2TaW
_symmetry_space_group_name_H-M 'R -3 m'
_symmetry_Int_Tables_number 166
_symmetry_space_group_name_Hall '-R 3 2"'
_cell_length_a 2.9538
_cell_length_b 2.9538
_cell_length_c 29.5815
_cell_angle_alpha 90.00
_cell_angle_beta 90.00
_cell_angle_gamma 120.00
loop_
_atom_site_label
_atom_site_type_symbol
_atom_site_fract_x
_atom_site_fract_y
_atom_site_fract_z
_atom_site_occupancy
Sc1 Sc 0.0000 0.0000 0.2483 1
Ta1 Ta 0.0000 0.0000 0.0000 1
W1 W 0.0000 0.0000 0.5000 1
# M_tot: 0.000 Bohr magnetons per cell
# Mass density: 10.134 Mg/m³
# Crystal system: trigonal
# Volume: 18.63 Å³/atom


Winner for stability: 2


--- 1 ---
# ScTaW2 | Alexandria via LeMat-Bulk | GGA-PBEsol | relaxed
data_ScTaW2
_symmetry_space_group_name_H-M 'P m m m'
_symmetry_Int_Tables_number 47
_symmetry_space_group_name_Hall '-P 2 2'
_cell_length_a 2.695
_cell_length_b 4.634
_cell_length_c 5.513
_cell_angle_alpha 90.00
_cell_angle_beta 90.00
_cell_angle_gamma 90.00
loop_
_atom_site_label
_atom_site_type_symbol
_atom_site_fract_x
_atom_site_fract_y
_atom_site_fract_z
_atom_site_occupancy
Sc1 Sc 0.000 0.000 0.000 1
Ta1 Ta 0.000 0.000 0.500 1
W1 W 0.500 0.500 0.250 1
# M_tot: 0.000 Bohr magnetons per cell
# Mass density: 14.316 Mg/m³
# Crystal system: orthorhombic
# Volume: 17.21 Å³/atom


--- 2 ---
# ScTaW2 | Alexandria via LeMat-Bulk | GGA-PBEsol | relaxed
data_ScTaW2
_symmetry_space_group_name_H-M 'C 1 2/m 1'
_symmetry_Int_Tables_number 12
_symmetry_space_group_name_Hall '-C 2y'
_cell_length_a 9.364
_cell_length_b 2.706
_cell_length_c 5.422
_cell_angle_alpha 90.00
_cell_angle_beta 90.14
_cell_angle_gamma 90.00
loop_
_atom_site_label
_atom_site_type_symbol
_atom_site_fract_x
_atom_site_fract_y
_atom_site_fract_z
_atom_site_occupancy
Sc1 Sc 0.000 0.000 0.000 1
Ta1 Ta 0.000 0.500 0.500 1
W1 W 0.249 0.500 0.249 1
# M_tot: 0.000 Bohr magnetons per cell
# Mass density: 14.349 Mg/m³
# Crystal system: monoclinic
# Volume: 17.17 Å³/atom


Winner for stability: 2


--- 1 ---
# Y2ScTa | Alexandria via LeMat-Bulk | GGA-PBEsol | relaxed
data_Y2ScTa
_symmetry_space_group_name_H-M 'C 1 m 1'
_symmetry_Int_Tables_number 8
_symmetry_space_group_name_Hall 'C -2y'
_cell_length_a 10.526
_cell_length_b 3.162
_cell_length_c 5.860
_cell_angle_alpha 90.00
_cell_angle_beta 97.94
_cell_angle_gamma 90.00
loop_
_atom_site_label
_atom_site_type_symbol
_atom_site_fract_x
_atom_site_fract_y
_atom_site_fract_z
_atom_site_occupancy
Y1 Y 0.000 0.000 0.000 1
Y2 Y 0.236 0.000 0.711 1
Sc1 Sc 0.479 0.000 0.454 1
Ta1 Ta 0.242 0.500 0.245 1
# M_tot: 0.001 Bohr magnetons per cell
# Mass density: 6.942 Mg/m³
# Crystal system: monoclinic
# Volume: 24.14 Å³/atom


--- 2 ---
# Y2ScTa | Alexandria via LeMat-Bulk | GGA-PBEsol | relaxed
data_Y2ScTa
_symmetry_space_group_name_H-M 'I m m 2'
_symmetry_Int_Tables_number 44
_symmetry_space_group_name_Hall 'I 2 -2'
_cell_length_a 4.587
_cell_length_b 4.623
_cell_length_c 9.064
_cell_angle_alpha 90.00
_cell_angle_beta 90.00
_cell_angle_gamma 90.00
loop_
_atom_site_label
_atom_site_type_symbol
_atom_site_fract_x
_atom_site_fract_y
_atom_site_fract_z
_atom_site_occupancy
Y1 Y 0.000 0.000 0.000 1
Y2 Y 0.000 0.500 0.249 1
Sc1 Sc 0.000 0.500 0.751 1
Ta1 Ta 0.000 0.000 0.497 1
# M_tot: 0.001 Bohr magnetons per cell
# Mass density: 6.976 Mg/m³
# Crystal system: orthorhombic
# Volume: 24.03 Å³/atom


Winner for stability: 1